Entry 1:
Material: ZrFeSb2I
Method: DFT, meta-GGA SCAN
State: PBEsol geometry

The structure in extended XYZ format:
```
5
Lattice="-4.141 -1.427 -3.340 3.390 0.302 -4.331 1.302 -5.297 0.649" Properties=species:S:1:pos:R:3 pbc="T T T"
I 0.651 -2.649 0.325
Sb 1.695 0.151 -2.166
Sb -2.070 -0.714 -1.670
Fe 0.276 -3.211 -3.511
Zr 0.000 0.000 0.000
```

Properties
Density of states at the Fermi level (states/eV/f.u.): 6.2
V (Å³ per cell): 166.67
E_tot (eV per atom): -31.326

---

Entry 2:
Material: ScFeI2
Method: DFT, meta-GGA SCAN
State: PBEsol geometry

The structure in extended XYZ format:
```
4
Lattice="-2.577 -3.507 -2.409 2.337 -3.998 -1.817 -0.697 -4.456 2.098" Properties=species:S:1:pos:R:3 pbc="T T T"
I -0.234 -2.990 -0.532
I -0.703 -8.971 -1.596
Sc 0.000 0.000 0.000
Fe -0.469 -5.980 -1.064
```

Properties
Density of states at the Fermi level (states/eV/f.u.): 2.9
V (Å³ per cell): 87.04
E_tot (eV per atom): -26.343

---

Entry 3:
Material: FeSe3I
Method: DFT, meta-GGA SCAN
State: PBEsol geometry

The structure in extended XYZ format:
```
5
Lattice="-2.694 -4.521 -0.490 4.255 -2.707 1.583 -1.605 0.412 5.019" Properties=species:S:1:pos:R:3 pbc="T T T"
I 0.000 0.000 0.000
Fe -0.022 -3.408 3.056
Se 2.127 -1.354 0.791
Se -0.802 0.206 2.509
Se -1.347 -2.260 -0.245
```

Properties
Density of states at the Fermi level (states/eV/f.u.): 8.2
V (Å³ per cell): 147.65
E_tot (eV per atom): -21.841

---

Entry 4:
Material: FeTe2SeI
Method: DFT, meta-GGA SCAN
State: PBEsol geometry

The structure in extended XYZ format:
```
5
Lattice="-1.167 0.508 -5.292 5.214 -0.951 -1.241 -1.027 -5.266 -0.279" Properties=species:S:1:pos:R:3 pbc="T T T"
I -0.513 -2.633 -0.139
Te 2.607 -0.475 -0.620
Te -0.583 0.254 -2.646
Fe 1.510 -2.854 -3.406
Se 0.000 0.000 0.000
```

Properties
Density of states at the Fermi level (states/eV/f.u.): 6.0
V (Å³ per cell): 159.17
E_tot (eV per atom): -28.981

---

Entry 5:
Material: Fe3SiI
Method: DFT, meta-GGA SCAN
State: PBEsol geometry

The structure in extended XYZ format:
```
5
Lattice="-1.776 -3.205 -2.285 -0.775 -2.173 3.651 -3.859 1.912 0.319" Properties=species:S:1:pos:R:3 pbc="T T T"
I -3.206 -1.733 0.842
Si 0.000 0.000 0.000
Fe -0.388 -1.087 1.825
Fe -1.930 0.956 0.159
Fe -0.888 -1.603 -1.143
```

Properties
Density of states at the Fermi level (states/eV/f.u.): 4.4
V (Å³ per cell): 80.55
E_tot (eV per atom): -19.325

---

Entry 6:
Material: FeSn2I
Method: DFT, meta-GGA SCAN
State: PBEsol geometry

The structure in extended XYZ format:
```
4
Lattice="-3.149 2.150 -3.475 -1.738 -2.787 -3.978 -4.962 -1.398 -0.198" Properties=species:S:1:pos:R:3 pbc="T T T"
I -4.925 -1.017 -3.826
Sn -2.462 -0.509 -1.913
Sn -7.387 -1.526 -5.738
Fe 0.000 0.000 0.000
```

Properties
Density of states at the Fermi level (states/eV/f.u.): 3.9
V (Å³ per cell): 97.08
E_tot (eV per atom): -30.833

---

Entry 7:
Material: FeSnI2
Method: DFT, meta-GGA SCAN
State: PBEsol geometry

The structure in extended XYZ format:
```
4
Lattice="-3.687 1.722 3.292 -4.949 -1.619 -0.535 -2.085 -3.256 3.529" Properties=species:S:1:pos:R:3 pbc="T T T"
I -2.680 -0.788 1.571
I -8.041 -2.365 4.714
Sn -5.360 -1.576 3.143
Fe 0.000 0.000 0.000
```

Properties
Density of states at the Fermi level (states/eV/f.u.): 1.8
V (Å³ per cell): 101.40
E_tot (eV per atom): -31.317

---

Entry 8:
Material: SrFeTeI2
Method: DFT, meta-GGA SCAN
State: PBEsol geometry

The structure in extended XYZ format:
```
5
Lattice="-5.324 1.116 2.751 -2.960 -1.583 -5.088 -0.225 -5.998 1.998" Properties=species:S:1:pos:R:3 pbc="T T T"
I -1.480 -0.792 -2.544
I -2.662 0.558 1.375
Sr 0.000 0.000 0.000
Te -0.113 -2.999 0.999
Fe -4.255 -3.233 -0.170
```

Properties
Density of states at the Fermi level (states/eV/f.u.): 5.6
V (Å³ per cell): 235.05
E_tot (eV per atom): -30.167

---

Entry 9:
Material: TaFe3I
Method: DFT, meta-GGA SCAN
State: PBEsol geometry

The structure in extended XYZ format:
```
5
Lattice="4.588 0.000 0.000 0.000 4.588 0.000 0.000 0.000 4.588" Properties=species:S:1:pos:R:3 pbc="T T T"
I 2.294 2.294 2.294
Fe 0.000 2.294 0.000
Fe 0.000 0.000 2.294
Fe 2.294 0.000 0.000
Ta 0.000 0.000 0.000
```

Properties
Density of states at the Fermi level (states/eV/f.u.): 5.5
V (Å³ per cell): 96.56
E_tot (eV per atom): -29.879

---

Entry 10:
Material: TaFeTe2I
Method: DFT, meta-GGA SCAN
State: PBEsol geometry

The structure in extended XYZ format:
```
5
Lattice="-4.503 2.860 -0.096 -2.028 -3.062 3.869 2.072 3.388 3.767" Properties=species:S:1:pos:R:3 pbc="T T T"
I 1.036 1.694 1.884
Te -1.014 -1.531 1.935
Te -2.251 1.430 -0.048
Fe -2.230 1.593 3.770
Ta 0.000 0.000 0.000
```

Properties
Density of states at the Fermi level (states/eV/f.u.): 5.3
V (Å³ per cell): 155.81
E_tot (eV per atom): -38.400

---

Entry 11:
Material: Tb7FeI12
Method: DFT, meta-GGA SCAN
State: PBEsol geometry

The structure in extended XYZ format:
```
20
Lattice="9.477 -0.006 -0.009 -2.759 9.067 -0.009 -2.759 -3.721 8.268" Properties=species:S:1:pos:R:3 pbc="T T T"
Tb 1.980 2.670 4.125
Tb 2.466 -0.139 0.781
Tb 0.020 2.583 0.193
Tb -0.849 -0.237 2.436
Tb 1.493 5.479 7.470
Tb 3.940 2.757 8.057
Tb 4.808 5.577 5.815
Fe 0.000 0.000 0.000
I 1.951 -0.332 3.875
I 2.946 2.933 1.285
I -0.884 2.810 3.202
I 2.008 5.671 4.376
I 1.013 2.407 6.966
I 4.843 2.530 5.049
I -1.617 5.537 6.350
I 3.843 -0.523 7.652
I 5.768 5.768 2.657
I 5.576 -0.197 1.901
I 0.116 5.863 0.599
I -1.809 -0.428 5.594
```

Properties
Density of states at the Fermi level (states/eV/f.u.): 7.7
V (Å³ per cell): 709.75
E_tot (eV per atom): -40.615

---

Entry 12:
Material: TiFe3I
Method: DFT, meta-GGA SCAN
State: PBEsol geometry

The structure in extended XYZ format:
```
5
Lattice="4.420 0.000 0.000 0.000 4.420 0.000 0.000 0.000 4.420" Properties=species:S:1:pos:R:3 pbc="T T T"
I 2.210 2.210 2.210
Fe 0.000 2.210 0.000
Fe 0.000 0.000 2.210
Fe 2.210 0.000 0.000
Ti 0.000 0.000 0.000
```

Properties
Density of states at the Fermi level (states/eV/f.u.): 3.7
V (Å³ per cell): 86.35
E_tot (eV per atom): -20.066